! PBE-GGA CsBa2Np3Se8, relaxed; values from VASP
! Formation energy from raw total energies, eV per atom: -1.335
! V, A^3/atom: 37.6
! M_tot, μB/f.u.: 10.0
&SYSTEM
  ibrav = 0, nat = 14, ntyp = 4
/
ATOMIC_SPECIES
Se 78.96 Se.upf
Np 237.00 Np.upf
Ba 137.33 Ba.upf
Cs 132.91 Cs.upf
ATOMIC_POSITIONS crystal
Se 0.749 0.311 0.191
Se 0.749 0.749 0.191
Se 0.251 0.698 0.799
Se 0.698 0.251 0.799
Se 0.725 0.725 0.825
Se 0.311 0.749 0.191
Se 0.251 0.251 0.799
Se 0.267 0.267 0.198
Np 0.500 0.500 0.002
Np 0.997 0.500 0.002
Np 0.500 0.997 0.002
Ba 0.126 0.126 0.623
Ba 0.501 0.501 0.496
Cs 0.865 0.865 0.404
CELL_PARAMETERS angstrom
-2.714 -6.899 -4.711
4.841 -7.326 -0.250
-3.154 -7.509 4.625

***

! PBE-GGA Tl5As2Se5, relaxed; values from VASP
! Formation energy from raw total energies, eV per atom: -0.225
! V, A^3/atom: 31.1
! M_tot, μB/f.u.: 0.0
&SYSTEM
  ibrav = 0, nat = 12, ntyp = 3
/
ATOMIC_SPECIES
Tl 204.38 Tl.upf
Se 78.96 Se.upf
As 74.92 As.upf
ATOMIC_POSITIONS crystal
Tl 0.756 0.511 0.339
Tl 0.500 0.000 0.500
Tl 0.658 0.317 0.048
Tl 0.244 0.489 0.661
Tl 0.342 0.683 0.952
Se 0.121 0.242 0.392
Se 0.879 0.758 0.608
Se 0.392 0.784 0.215
Se 0.608 0.216 0.785
Se 0.000 0.000 0.000
As 0.026 0.051 0.785
As 0.974 0.949 0.215
CELL_PARAMETERS angstrom
-2.670 -3.974 -0.637
5.967 -0.479 -3.709
2.784 -3.685 11.326

***

! PBE-GGA PuI2F, relaxed; values from VASP
! Formation energy from raw total energies, eV per atom: -1.927
! V, A^3/atom: 32.4
! M_tot, μB/f.u.: 5.0
&SYSTEM
  ibrav = 0, nat = 4, ntyp = 3
/
ATOMIC_SPECIES
I 126.90 I.upf
Pu 244.00 Pu.upf
F 19.00 F.upf
ATOMIC_POSITIONS crystal
I 0.201 0.850 0.052
I 0.549 0.025 0.573
Pu 0.042 0.271 0.313
F 0.708 0.604 0.312
CELL_PARAMETERS angstrom
4.203 -0.011 -0.007
-2.091 3.646 0.007
-2.091 -1.216 8.480

***

! PBE-GGA RuSe, relaxed; values from VASP
! Formation energy from raw total energies, eV per atom: 0.216
! V, A^3/atom: 16.6
! M_tot, μB/f.u.: 0.0
&SYSTEM
  ibrav = 0, nat = 8, ntyp = 2
/
ATOMIC_SPECIES
Se 78.96 Se.upf
Ru 101.07 Ru.upf
ATOMIC_POSITIONS crystal
Se 0.250 0.988 0.287
Se 0.750 0.012 0.713
Se 0.750 0.512 0.787
Se 0.250 0.488 0.213
Ru 0.750 0.678 0.451
Ru 0.750 0.178 0.049
Ru 0.250 0.322 0.549
Ru 0.250 0.822 0.951
CELL_PARAMETERS angstrom
-0.748 0.779 2.922
1.345 -6.036 1.954
6.229 1.752 1.127

***

! PBE-GGA KTaCoSe3, relaxed; values from VASP
! Formation energy from raw total energies, eV per atom: -0.796
! V, A^3/atom: 23.4
! M_tot, μB/f.u.: 1.0
&SYSTEM
  ibrav = 0, nat = 12, ntyp = 4
/
ATOMIC_SPECIES
K 39.10 K.upf
Ta 180.95 Ta.upf
Se 78.96 Se.upf
Co 58.93 Co.upf
ATOMIC_POSITIONS crystal
K 0.750 0.752 0.737
K 0.250 0.248 0.263
Ta 0.750 0.292 0.823
Ta 0.250 0.708 0.177
Se 0.250 0.780 0.458
Se 0.250 0.535 0.866
Se 0.750 0.465 0.134
Se 0.750 0.220 0.542
Se 0.250 0.102 0.858
Se 0.750 0.898 0.142
Co 0.750 0.913 0.391
Co 0.250 0.087 0.609
CELL_PARAMETERS angstrom
-3.064 1.524 -1.258
-3.381 -7.956 -1.401
-1.722 3.808 8.807

***

! PBE-GGA RbMn3Ag, relaxed; values from VASP
! Polymorph energy (0 for the lowest one), eV/atom: 0.0000
! V, A^3/atom: 28.1
! M_tot, μB/f.u.: 13.4
! ΔE_f, eV/f.u.: 5.3
&SYSTEM
  ibrav = 0, nat = 5, ntyp = 3
/
ATOMIC_SPECIES
Mn 54.94 Mn.upf
Rb 85.47 Rb.upf
Ag 107.87 Ag.upf
ATOMIC_POSITIONS crystal
Mn 0.000 0.500 0.000
Mn 0.000 0.000 0.500
Mn 0.500 0.000 0.000
Rb 0.500 0.500 0.500
Ag 0.000 0.000 0.000
CELL_PARAMETERS angstrom
-0.807 1.657 4.864
-3.776 -3.531 0.576
3.485 -3.441 1.751

***

! PBE-GGA BaPb2Se3, relaxed; values from VASP
! Formation energy from raw total energies, eV per atom: -0.984
! Polymorph energy (0 for the lowest one), eV/atom: 0.0646
! V, A^3/atom: 32.2
! M_tot, μB/f.u.: 0.0
&SYSTEM
  ibrav = 0, nat = 12, ntyp = 3
/
ATOMIC_SPECIES
Ba 137.33 Ba.upf
Se 78.96 Se.upf
Pb 207.20 Pb.upf
ATOMIC_POSITIONS crystal
Ba 0.000 0.511 0.136
Ba 0.000 0.011 0.864
Se 0.500 0.239 0.705
Se 0.000 0.231 0.383
Se 0.000 0.731 0.617
Se 0.500 0.739 0.295
Se 0.500 0.701 0.942
Se 0.500 0.201 0.058
Pb 0.500 0.522 0.501
Pb 0.500 0.022 0.499
Pb 0.000 0.997 0.194
Pb 0.000 0.497 0.806
CELL_PARAMETERS angstrom
4.251 0.000 0.000
0.000 7.805 0.000
0.000 0.000 11.644

***

! PBE-GGA TbTm2Cd, relaxed; values from VASP
! Polymorph energy (0 for the lowest one), eV/atom: 0.0000
! V, A^3/atom: 28.3
! M_tot, μB/f.u.: 0.0
! ΔE_f, eV/f.u.: -0.6
&SYSTEM
  ibrav = 0, nat = 4, ntyp = 3
/
ATOMIC_SPECIES
Tm 168.93 Tm.upf
Tb 158.93 Tb.upf
Cd 112.41 Cd.upf
ATOMIC_POSITIONS crystal
Tm 0.000 0.000 0.227
Tm 0.000 0.000 0.773
Tb 0.500 0.500 0.500
Cd 0.500 0.500 0.000
CELL_PARAMETERS angstrom
3.545 0.000 0.000
0.000 3.545 0.000
0.000 0.000 9.001

***

! PBE-GGA YICl2, relaxed; values from VASP
! Formation energy from raw total energies, eV per atom: -1.915
! Polymorph energy (0 for the lowest one), eV/atom: 0.0466
! V, A^3/atom: 42.0
! M_tot, μB/f.u.: 0.0
&SYSTEM
  ibrav = 0, nat = 4, ntyp = 3
/
ATOMIC_SPECIES
I 126.90 I.upf
Cl 35.45 Cl.upf
Y 88.91 Y.upf
ATOMIC_POSITIONS crystal
I 0.252 0.171 0.329
Cl 0.393 0.592 0.620
Cl 0.106 0.880 0.908
Y 0.750 0.857 0.643
CELL_PARAMETERS angstrom
3.754 -0.009 0.003
1.879 6.990 0.212
1.884 2.656 6.475

***

! PBE-GGA Sc3Tl, relaxed; values from VASP
! V, A^3/atom: 24.0
! M_tot, μB/f.u.: 1.0
! ΔE_f, eV/f.u.: -0.3
&SYSTEM
  ibrav = 0, nat = 4, ntyp = 2
/
ATOMIC_SPECIES
Sc 44.96 Sc.upf
Tl 204.38 Tl.upf
ATOMIC_POSITIONS crystal
Sc 0.500 0.000 0.500
Sc 0.500 0.500 0.000
Sc 0.000 0.500 0.500
Tl 0.000 0.000 0.000
CELL_PARAMETERS angstrom
-0.947 -4.370 3.200
5.446 0.586 -0.485
0.028 1.968 2.696

***

! PBE-GGA KNi12As6, relaxed; values from VASP
! V, A^3/atom: 14.9
! M_tot, μB/f.u.: 0.0
! ΔE_f, eV/f.u.: -3.4
&SYSTEM
  ibrav = 0, nat = 19, ntyp = 3
/
ATOMIC_SPECIES
As 74.92 As.upf
Ni 58.69 Ni.upf
K 39.10 K.upf
ATOMIC_POSITIONS crystal
As 0.656 0.230 0.230
As 0.770 0.344 0.770
As 0.230 0.230 0.656
As 0.770 0.770 0.344
As 0.230 0.656 0.230
As 0.344 0.770 0.770
Ni 0.500 0.134 0.866
Ni 0.500 0.866 0.134
Ni 0.467 0.169 0.467
Ni 0.134 0.866 0.500
Ni 0.467 0.467 0.169
Ni 0.533 0.533 0.831
Ni 0.831 0.533 0.533
Ni 0.533 0.831 0.533
Ni 0.134 0.500 0.866
Ni 0.169 0.467 0.467
Ni 0.866 0.500 0.134
Ni 0.866 0.134 0.500
K 0.000 0.000 0.000
CELL_PARAMETERS angstrom
6.819 0.032 0.045
-1.660 6.614 0.045
-1.660 -2.138 6.259

***

! PBE-GGA Cu2SiMo, relaxed; values from VASP
! Formation energy from raw total energies, eV per atom: 0.045
! V, A^3/atom: 13.3
! M_tot, μB/f.u.: 0.0
&SYSTEM
  ibrav = 0, nat = 4, ntyp = 3
/
ATOMIC_SPECIES
Cu 63.55 Cu.upf
Mo 95.94 Mo.upf
Si 28.09 Si.upf
ATOMIC_POSITIONS crystal
Cu 0.000 0.875 0.993
Cu 0.000 0.625 0.507
Mo 0.500 0.250 0.250
Si 0.500 0.750 0.750
CELL_PARAMETERS angstrom
-2.622 1.769 2.829
-1.844 -1.867 -0.542
1.289 -3.238 3.220

***

! PBE-GGA Ba2PSe5, relaxed; values from VASP
! Formation energy from raw total energies, eV per atom: -0.961
! V, A^3/atom: 30.7
! M_tot, μB/f.u.: 0.0
&SYSTEM
  ibrav = 0, nat = 8, ntyp = 3
/
ATOMIC_SPECIES
P 30.97 P.upf
Ba 137.33 Ba.upf
Se 78.96 Se.upf
ATOMIC_POSITIONS crystal
P 0.957 0.957 0.915
Ba 0.261 0.761 0.521
Ba 0.761 0.261 0.521
Se 0.794 0.246 0.040
Se 0.246 0.246 0.040
Se 0.794 0.794 0.040
Se 0.718 0.718 0.435
Se 0.246 0.794 0.040
CELL_PARAMETERS angstrom
7.230 0.000 0.000
0.000 7.230 0.000
-3.615 -3.615 4.692

***

! PBE-GGA TbSm3Sn12, relaxed; values from VASP
! V, A^3/atom: 26.6
! M_tot, μB/f.u.: 0.0
! ΔE_f, eV/f.u.: -7.5
&SYSTEM
  ibrav = 0, nat = 16, ntyp = 3
/
ATOMIC_SPECIES
Sn 118.71 Sn.upf
Sm 150.36 Sm.upf
Tb 158.93 Tb.upf
ATOMIC_POSITIONS crystal
Sn 0.500 0.000 0.123
Sn 0.500 0.000 0.626
Sn 0.000 0.500 0.123
Sn 0.000 0.500 0.877
Sn 0.500 0.500 0.751
Sn 0.500 0.500 0.249
Sn 0.000 0.500 0.626
Sn 0.500 0.500 0.500
Sn 0.500 0.500 0.000
Sn 0.500 0.000 0.877
Sn 0.500 0.000 0.374
Sn 0.000 0.500 0.374
Sm 0.000 0.000 0.751
Sm 0.000 0.000 0.249
Sm 0.000 0.000 0.500
Tb 0.000 0.000 0.000
CELL_PARAMETERS angstrom
4.761 0.000 0.000
0.000 4.761 0.000
0.000 0.000 18.796

***

! PBE-GGA SrScAs2, relaxed; values from VASP
! Polymorph energy (0 for the lowest one), eV/atom: 0.1951
! V, A^3/atom: 22.8
! M_tot, μB/f.u.: 0.0
! ΔE_f, eV/f.u.: -3.6
&SYSTEM
  ibrav = 0, nat = 4, ntyp = 3
/
ATOMIC_SPECIES
As 74.92 As.upf
Sc 44.96 Sc.upf
Sr 87.62 Sr.upf
ATOMIC_POSITIONS crystal
As 0.000 0.000 0.468
As 0.000 0.000 0.032
Sc 0.500 0.500 0.250
Sr 0.500 0.500 0.750
CELL_PARAMETERS angstrom
-1.769 3.270 0.229
-2.547 -1.463 1.226
2.816 1.028 7.076

***

! PBE-GGA SrZrP2Cl, relaxed; values from VASP
! Formation energy from raw total energies, eV per atom: -0.984
! Polymorph energy (0 for the lowest one), eV/atom: 0.0000
! V, A^3/atom: 26.2
! M_tot, μB/f.u.: 0.0
&SYSTEM
  ibrav = 0, nat = 5, ntyp = 4
/
ATOMIC_SPECIES
Cl 35.45 Cl.upf
P 30.97 P.upf
Sr 87.62 Sr.upf
Zr 91.22 Zr.upf
ATOMIC_POSITIONS crystal
Cl 0.000 0.000 0.500
P 0.500 0.000 0.000
P 0.000 0.500 0.000
Sr 0.500 0.500 0.500
Zr 0.000 0.000 0.000
CELL_PARAMETERS angstrom
5.067 0.000 0.000
0.000 5.067 0.000
0.000 0.000 5.107

***

! PBE-GGA ZrTlH, relaxed; values from VASP
! Polymorph energy (0 for the lowest one), eV/atom: 0.2473
! V, A^3/atom: 17.5
! M_tot, μB/f.u.: 0.0
&SYSTEM
  ibrav = 0, nat = 3, ntyp = 3
/
ATOMIC_SPECIES
Tl 204.38 Tl.upf
Zr 91.22 Zr.upf
H 1.01 H.upf
ATOMIC_POSITIONS crystal
Tl 0.002 0.002 0.004
Zr 0.730 0.730 0.460
H 0.268 0.268 0.537
CELL_PARAMETERS angstrom
-2.718 0.500 -1.310
1.307 -0.133 -2.762
-0.225 -5.701 1.861

***

! PBE-GGA TaRe2Au, relaxed; values from VASP
! Polymorph energy (0 for the lowest one), eV/atom: 0.1849
! V, A^3/atom: 16.5
! M_tot, μB/f.u.: 0.0
! ΔE_f, eV/f.u.: 1.0
&SYSTEM
  ibrav = 0, nat = 4, ntyp = 3
/
ATOMIC_SPECIES
Re 186.21 Re.upf
Ta 180.95 Ta.upf
Au 196.97 Au.upf
ATOMIC_POSITIONS crystal
Re 0.000 0.933 0.008
Re 0.000 0.567 0.492
Ta 0.500 0.250 0.250
Au 0.500 0.750 0.750
CELL_PARAMETERS angstrom
4.722 0.000 0.000
0.000 2.733 -0.086
0.000 0.464 5.091

***

! PBE-GGA Na2Zn3SnAu4, relaxed; values from VASP
! V, A^3/atom: 21.8
! M_tot, μB/f.u.: 0.0
! ΔE_f, eV/f.u.: -2.3
&SYSTEM
  ibrav = 0, nat = 10, ntyp = 4
/
ATOMIC_SPECIES
Na 22.99 Na.upf
Au 196.97 Au.upf
Sn 118.71 Sn.upf
Zn 65.41 Zn.upf
ATOMIC_POSITIONS crystal
Na 0.000 0.500 0.767
Na 0.500 0.000 0.233
Au 0.000 0.000 0.000
Au 0.000 0.500 0.355
Au 0.500 0.500 0.000
Au 0.500 0.000 0.645
Sn 0.500 0.500 0.500
Zn 0.000 0.000 0.500
Zn 0.000 0.500 0.126
Zn 0.500 0.000 0.874
CELL_PARAMETERS angstrom
-1.507 2.762 3.135
2.391 -2.163 3.055
8.534 6.783 -1.875

***

! PBE-GGA La3Sn6Pd5, relaxed; values from VASP
! V, A^3/atom: 23.0
! M_tot, μB/f.u.: 0.0
! ΔE_f, eV/f.u.: -10.7
&SYSTEM
  ibrav = 0, nat = 28, ntyp = 3
/
ATOMIC_SPECIES
Sn 118.71 Sn.upf
Pd 106.42 Pd.upf
La 138.91 La.upf
ATOMIC_POSITIONS crystal
Sn 0.000 0.603 0.671
Sn 0.500 0.397 0.171
Sn 0.000 0.603 0.329
Sn 0.500 0.397 0.829
Sn 0.000 0.974 0.844
Sn 0.000 0.417 0.500
Sn 0.000 0.044 0.500
Sn 0.500 0.956 0.000
Sn 0.500 0.026 0.656
Sn 0.500 0.026 0.344
Sn 0.500 0.583 0.000
Sn 0.000 0.974 0.156
Pd 0.500 0.216 0.500
Pd 0.000 0.874 0.653
Pd 0.000 0.874 0.347
Pd 0.000 0.533 0.880
Pd 0.500 0.467 0.620
Pd 0.000 0.533 0.120
Pd 0.500 0.467 0.380
Pd 0.000 0.784 0.000
Pd 0.500 0.126 0.847
Pd 0.500 0.126 0.153
La 0.500 0.745 0.500
La 0.000 0.255 0.000
La 0.000 0.252 0.298
La 0.000 0.252 0.702
La 0.500 0.748 0.798
La 0.500 0.748 0.202
CELL_PARAMETERS angstrom
-0.567 3.351 3.104
-9.666 -2.316 0.736
2.950 -9.041 10.298

***

! PBE-GGA WSe2S, relaxed; values from VASP
! Formation energy from raw total energies, eV per atom: 0.198
! V, A^3/atom: 20.6
! M_tot, μB/f.u.: 0.0
&SYSTEM
  ibrav = 0, nat = 4, ntyp = 3
/
ATOMIC_SPECIES
Se 78.96 Se.upf
S 32.06 S.upf
W 183.84 W.upf
ATOMIC_POSITIONS crystal
Se 0.099 0.099 0.099
Se 0.901 0.901 0.901
S 0.000 0.000 0.000
W 0.500 0.500 0.500
CELL_PARAMETERS angstrom
1.979 0.000 8.111
-0.989 1.714 8.111
-0.989 -1.714 8.111

***

! PBE-GGA Gd2SbO, relaxed; values from VASP
! Formation energy from raw total energies, eV per atom: -1.719
! V, A^3/atom: 21.8
! M_tot, μB/f.u.: 14.0
&SYSTEM
  ibrav = 0, nat = 4, ntyp = 3
/
ATOMIC_SPECIES
Gd 157.25 Gd.upf
Sb 121.76 Sb.upf
O 16.00 O.upf
ATOMIC_POSITIONS crystal
Gd 0.729 0.729 0.812
Gd 0.271 0.271 0.188
Sb 0.500 0.500 0.500
O 0.000 0.000 0.000
CELL_PARAMETERS angstrom
-2.986 2.363 -0.117
-3.504 -1.386 -0.561
-2.983 -0.371 6.613

***

! PBE-GGA Ba4Li, relaxed; values from VASP
! Polymorph energy (0 for the lowest one), eV/atom: 0.0000
! V, A^3/atom: 55.7
! M_tot, μB/f.u.: 0.0
! ΔE_f, eV/f.u.: 0.1
&SYSTEM
  ibrav = 0, nat = 5, ntyp = 2
/
ATOMIC_SPECIES
Ba 137.33 Ba.upf
Li 6.94 Li.upf
ATOMIC_POSITIONS crystal
Ba 0.191 0.191 0.383
Ba 0.425 0.425 0.850
Ba 0.809 0.809 0.617
Ba 0.575 0.575 0.150
Li 0.000 0.000 0.000
CELL_PARAMETERS angstrom
-1.996 -3.447 -1.919
2.968 0.105 -3.276
7.891 -7.245 9.901

***

! PBE-GGA Zn6CuAu8, relaxed; values from VASP
! V, A^3/atom: 17.8
! M_tot, μB/f.u.: 0.0
! ΔE_f, eV/f.u.: -1.5
&SYSTEM
  ibrav = 0, nat = 15, ntyp = 3
/
ATOMIC_SPECIES
Cu 63.55 Cu.upf
Au 196.97 Au.upf
Zn 65.41 Zn.upf
ATOMIC_POSITIONS crystal
Cu 0.000 0.000 0.000
Au 0.884 0.549 0.341
Au 0.549 0.226 0.341
Au 0.674 0.674 0.977
Au 0.326 0.326 0.023
Au 0.774 0.116 0.659
Au 0.226 0.884 0.341
Au 0.116 0.451 0.659
Au 0.451 0.774 0.659
Zn 0.058 0.733 0.834
Zn 0.375 0.058 0.834
Zn 0.267 0.625 0.166
Zn 0.942 0.267 0.166
Zn 0.625 0.942 0.166
Zn 0.733 0.375 0.834
CELL_PARAMETERS angstrom
-7.068 0.861 -2.623
-3.431 -5.725 -3.609
-5.441 -3.389 2.573

***

| no. | electronic total energy (eV/atom) |
| --- | --- |
| 1 | -6.43 |
| 2 | -3.44 |
| 3 | -6.75 |
| 4 | -6.16 |
| 5 | -5.88 |
| 6 | -5.20 |
| 7 | -4.28 |
| 8 | -3.77 |
| 9 | -4.84 |
| 10 | -5.43 |
| 11 | -5.36 |
| 12 | -6.07 |
| 13 | -4.30 |
| 14 | -4.65 |
| 15 | -5.22 |
| 16 | -5.56 |
| 17 | -4.82 |
| 18 | -9.75 |
| 19 | -2.59 |
| 20 | -5.39 |
| 21 | -5.81 |
| 22 | -11.03 |
| 23 | -1.89 |
| 24 | -2.63 |